(1)
{"formula": "Pa2Te3Se2", "functional": "PBE-GGA", "state": "relaxed", "raw_formation_energy_ev_per_atom": -0.703, "space_group": "C2/m", "lattice_angstrom": [[10.507, -2.351, 0.000], [10.507, 2.351, 0.000], [-0.709, 0.000, 3.807]], "species": ["Pa", "Pa", "Te", "Te", "Te", "Se", "Se"], "fractional_positions": [[0.126, 0.126, 0.126], [0.874, 0.874, 0.874], [0.000, 0.000, 0.500], [0.253, 0.253, 0.753], [0.747, 0.747, 0.247], [0.387, 0.387, 0.386], [0.613, 0.613, 0.614]]}

---

(2)
{"formula": "Co4Re", "functional": "PBE-GGA", "state": "relaxed", "de_polymorph_mev_per_atom": 462, "space_group": "I4/mmm", "lattice_angstrom": [[-1.632, 1.632, 5.638], [1.632, -1.632, 5.638], [1.632, 1.632, -5.638]], "species": ["Co", "Co", "Co", "Co", "Re"], "fractional_positions": [[0.100, 0.100, 0.000], [0.250, 0.750, 0.500], [0.750, 0.250, 0.500], [0.900, 0.900, 0.000], [0.500, 0.500, 0.000]]}

---

(3)
{"formula": "TlInW2", "functional": "PBE-GGA", "state": "relaxed", "de_polymorph_mev_per_atom": 345, "space_group": "P2/m", "lattice_angstrom": [[2.954, 0.000, 0.000], [0.000, 4.793, 0.000], [-0.414, 0.000, 5.512]], "species": ["Tl", "In", "W", "W"], "fractional_positions": [[0.000, 0.000, 0.000], [0.500, 0.000, 0.500], [0.171, 0.500, 0.721], [0.829, 0.500, 0.279]]}

---

(4)
{"formula": "CdCo2Se", "functional": "PBE-GGA", "state": "relaxed", "de_polymorph_mev_per_atom": 279, "raw_formation_energy_ev_per_atom": 0.425, "space_group": "Fm-3m", "lattice_angstrom": [[0.000, 3.092, 3.092], [3.092, 0.000, 3.092], [3.092, 3.092, 0.000]], "species": ["Cd", "Co", "Co", "Se"], "fractional_positions": [[0.000, 0.000, 0.000], [0.250, 0.250, 0.250], [0.750, 0.750, 0.750], [0.500, 0.500, 0.500]]}

---

(5)
{"formula": "Nd5Tl", "functional": "PBE-GGA", "state": "relaxed", "de_polymorph_mev_per_atom": 0, "space_group": "Cmmm", "lattice_angstrom": [[2.499, -7.851, 0.000], [2.499, 7.851, 0.000], [0.000, 0.000, 5.013]], "species": ["Nd", "Nd", "Nd", "Nd", "Nd", "Tl"], "fractional_positions": [[0.000, 0.000, 0.000], [0.163, 0.837, 0.500], [0.336, 0.664, 0.000], [0.664, 0.336, 0.000], [0.837, 0.163, 0.500], [0.500, 0.500, 0.500]]}

---

(6)
{"formula": "MnBe2Cl", "functional": "PBE-GGA", "state": "relaxed", "de_polymorph_mev_per_atom": 178, "raw_formation_energy_ev_per_atom": 0.248, "space_group": "P4/mmm", "lattice_angstrom": [[2.937, 0.000, 0.000], [0.000, 2.937, 0.000], [0.000, 0.000, 5.784]], "species": ["Mn", "Be", "Be", "Cl"], "fractional_positions": [[0.000, 0.000, 0.000], [0.500, 0.500, 0.186], [0.500, 0.500, 0.814], [0.000, 0.000, 0.500]]}

---

(7)
{"formula": "AcPmDySb", "functional": "PBE-GGA", "state": "relaxed", "raw_formation_energy_ev_per_atom": -0.251, "space_group": "F-43m", "lattice_angstrom": [[0.000, 3.948, 3.948], [3.948, 0.000, 3.948], [3.948, 3.948, 0.000]], "species": ["Ac", "Pm", "Dy", "Sb"], "fractional_positions": [[0.000, 0.000, 0.000], [0.750, 0.750, 0.750], [0.250, 0.250, 0.250], [0.500, 0.500, 0.500]]}

---

(8)
{"formula": "Na2GaCl", "functional": "PBE-GGA", "state": "relaxed", "de_polymorph_mev_per_atom": 187, "raw_formation_energy_ev_per_atom": -0.379, "space_group": "Fm-3m", "lattice_angstrom": [[0.000, 3.754, 3.754], [3.754, 0.000, 3.754], [3.754, 3.754, 0.000]], "species": ["Na", "Na", "Ga", "Cl"], "fractional_positions": [[0.250, 0.250, 0.250], [0.750, 0.750, 0.750], [0.000, 0.000, 0.000], [0.500, 0.500, 0.500]]}

---

(9)
{"formula": "MgTlGa6", "functional": "PBE-GGA", "state": "relaxed", "space_group": "Pmm2", "total_energy_ev_per_atom": -2.738, "lattice_angstrom": [[4.908, 0.000, 0.000], [0.000, 6.512, 0.000], [0.000, 0.000, 5.229]], "species": ["Mg", "Tl", "Ga", "Ga", "Ga", "Ga", "Ga", "Ga"], "fractional_positions": [[0.000, 0.000, 0.000], [0.500, 0.500, 0.695], [0.000, 0.227, 0.504], [0.000, 0.500, 0.082], [0.000, 0.773, 0.504], [0.500, 0.000, 0.678], [0.500, 0.225, 0.196], [0.500, 0.775, 0.196]]}

---

(10)
{"formula": "PmSm12Th3", "functional": "PBE-GGA", "state": "relaxed", "space_group": "P4/mmm", "total_energy_ev_per_atom": -5.185, "lattice_angstrom": [[5.115, 0.000, 0.000], [0.000, 5.115, 0.000], [0.000, 0.000, 20.449]], "species": ["Pm", "Sm", "Sm", "Sm", "Sm", "Sm", "Sm", "Sm", "Sm", "Sm", "Sm", "Sm", "Sm", "Th", "Th", "Th"], "fractional_positions": [[0.000, 0.000, 0.000], [0.000, 0.500, 0.128], [0.000, 0.500, 0.376], [0.000, 0.500, 0.624], [0.000, 0.500, 0.872], [0.500, 0.000, 0.128], [0.500, 0.000, 0.376], [0.500, 0.000, 0.624], [0.500, 0.000, 0.872], [0.500, 0.500, 0.000], [0.500, 0.500, 0.251], [0.500, 0.500, 0.500], [0.500, 0.500, 0.749], [0.000, 0.000, 0.251], [0.000, 0.000, 0.500], [0.000, 0.000, 0.749]]}

---

(11)
{"formula": "DyIr2Rh", "functional": "PBE-GGA", "state": "relaxed", "de_polymorph_mev_per_atom": 0, "space_group": "P4/mmm", "lattice_angstrom": [[4.008, 0.000, 0.000], [0.000, 4.008, 0.000], [0.000, 0.000, 4.143]], "species": ["Dy", "Ir", "Ir", "Rh"], "fractional_positions": [[0.000, 0.000, 0.000], [0.000, 0.500, 0.500], [0.500, 0.000, 0.500], [0.500, 0.500, 0.000]]}

---

(12)
{"formula": "Nb2HgHRu", "functional": "PBE-GGA", "state": "relaxed", "space_group": "P4/mmm", "total_energy_ev_per_atom": -6.599, "lattice_angstrom": [[4.158, 0.000, 0.000], [0.000, 4.158, 0.000], [0.000, 0.000, 4.129]], "species": ["Nb", "Nb", "Hg", "H", "Ru"], "fractional_positions": [[0.000, 0.500, 0.000], [0.500, 0.000, 0.000], [0.000, 0.000, 0.500], [0.500, 0.500, 0.000], [0.500, 0.500, 0.500]]}

---

(13)
{"formula": "SbTe3", "functional": "PBE-GGA", "state": "relaxed", "de_polymorph_mev_per_atom": 0, "raw_formation_energy_ev_per_atom": 0.009, "space_group": "Pmm2", "lattice_angstrom": [[4.622, 0.000, 0.000], [0.000, 6.269, 0.000], [0.000, 0.000, 4.436]], "species": ["Sb", "Te", "Te", "Te"], "fractional_positions": [[0.000, 0.000, 0.000], [0.000, 0.500, 0.999], [0.500, 0.000, 0.500], [0.500, 0.500, 0.499]]}

---

(14)
{"formula": "Np2BiO", "functional": "PBE-GGA", "state": "relaxed", "raw_formation_energy_ev_per_atom": -0.944, "space_group": "R-3m", "lattice_angstrom": [[1.807, 1.043, 7.639], [-1.807, 1.043, 7.639], [0.000, -2.087, 7.639]], "species": ["Np", "Np", "Bi", "O"], "fractional_positions": [[0.223, 0.223, 0.223], [0.777, 0.777, 0.777], [0.000, 0.000, 0.000], [0.500, 0.500, 0.500]]}

---

(15)
{"formula": "SrSc3Ru", "functional": "PBE-GGA", "state": "relaxed", "de_polymorph_mev_per_atom": 0, "space_group": "Pm-3m", "lattice_angstrom": [[5.152, 0.000, 0.000], [0.000, 5.152, 0.000], [0.000, 0.000, 5.152]], "species": ["Sr", "Sc", "Sc", "Sc", "Ru"], "fractional_positions": [[0.000, 0.000, 0.000], [0.000, 0.500, 0.500], [0.500, 0.000, 0.500], [0.500, 0.500, 0.000], [0.500, 0.500, 0.500]]}

---

(16)
{"formula": "Nb2Mo4W", "functional": "PBE-GGA", "state": "relaxed", "de_polymorph_mev_per_atom": 109, "lattice_angstrom": [[4.713, 1.375, -1.570], [-1.233, 4.752, -1.571], [0.149, 0.267, 10.147]], "species": ["Mo", "Mo", "Mo", "Mo", "Mo", "Mo", "Mo", "Mo", "Nb", "Nb", "Nb", "Nb", "W", "W"], "fractional_positions": [[0.831, 0.610, 0.623], [0.459, 0.737, 0.877], [0.461, 0.240, 0.377], [0.860, 0.582, 0.123], [0.987, 0.209, 0.377], [0.863, 0.084, 0.623], [0.334, 0.613, 0.123], [0.490, 0.211, 0.877], [0.354, 0.354, 0.637], [0.717, 0.717, 0.363], [0.967, 0.467, 0.863], [0.604, 0.104, 0.137], [0.285, 0.786, 0.500], [0.036, 0.036, 0.000]]}

---

(17)
{"formula": "Ag8Te2Se", "functional": "PBE-GGA", "state": "relaxed", "raw_formation_energy_ev_per_atom": 0.040, "space_group": "Cm", "lattice_angstrom": [[3.754, -7.061, 0.000], [3.754, 7.061, 0.000], [-2.053, 0.000, 4.660]], "species": ["Ag", "Ag", "Ag", "Ag", "Ag", "Ag", "Ag", "Ag", "Te", "Te", "Se"], "fractional_positions": [[0.000, 0.000, 0.000], [0.048, 0.424, 0.303], [0.301, 0.630, 0.941], [0.309, 0.309, 0.550], [0.424, 0.048, 0.303], [0.528, 0.741, 0.532], [0.630, 0.301, 0.941], [0.741, 0.528, 0.532], [0.199, 0.862, 0.692], [0.862, 0.199, 0.692], [0.662, 0.662, 0.073]]}

---

(18)
{"formula": "TaFe2HIr", "functional": "PBE-GGA", "state": "relaxed", "de_polymorph_mev_per_atom": 0, "space_group": "P4/mmm", "lattice_angstrom": [[3.807, 0.000, 0.000], [0.000, 3.807, 0.000], [0.000, 0.000, 3.792]], "species": ["Ta", "Fe", "Fe", "H", "Ir"], "fractional_positions": [[0.000, 0.000, 0.000], [0.000, 0.500, 0.500], [0.500, 0.000, 0.500], [0.500, 0.500, 0.500], [0.500, 0.500, 0.000]]}

---

(19)
{"formula": "TeRuW", "functional": "PBE-GGA", "state": "relaxed", "de_polymorph_mev_per_atom": 73, "raw_formation_energy_ev_per_atom": 0.487, "space_group": "Amm2", "lattice_angstrom": [[11.499, 0.000, 0.000], [0.000, 1.727, 2.992], [0.000, -1.727, 2.992]], "species": ["Te", "Te", "Ru", "Ru", "W", "W"], "fractional_positions": [[0.165, 0.000, 0.000], [0.835, 0.000, 0.000], [0.370, 0.675, 0.675], [0.630, 0.675, 0.675], [0.000, 0.334, 0.334], [0.500, 0.342, 0.342]]}

---

(20)
{"formula": "Ni2AgH2", "functional": "PBE-GGA", "state": "relaxed", "de_polymorph_mev_per_atom": 458, "space_group": "P4/mbm", "lattice_angstrom": [[6.476, 0.000, 0.000], [0.000, 6.476, 0.000], [0.000, 0.000, 2.524]], "species": ["Ni", "Ni", "Ni", "Ni", "Ag", "Ag", "H", "H", "H", "H"], "fractional_positions": [[0.122, 0.378, 0.000], [0.378, 0.878, 0.000], [0.622, 0.122, 0.000], [0.878, 0.622, 0.000], [0.000, 0.000, 0.000], [0.500, 0.500, 0.000], [0.089, 0.589, 0.500], [0.411, 0.089, 0.500], [0.589, 0.911, 0.500], [0.911, 0.411, 0.500]]}

---

Number 1: Fermi-level density of states 8.964 states/eV/cell, size of the total moment 1.843 μB per formula unit. Number 2: Fermi-level density of states 5.480 states/eV/cell, size of the total moment 3.121 μB per formula unit. Number 3: Fermi-level density of states 2.204 states/eV/cell, size of the total moment 0.000 μB per formula unit. Number 4: Fermi-level density of states 3.593 states/eV/cell, size of the total moment 2.422 μB per formula unit. Number 5: Fermi-level density of states 7.880 states/eV/cell, size of the total moment 0.000 μB per formula unit. Number 6: Fermi-level density of states 1.715 states/eV/cell, size of the total moment 2.108 μB per formula unit. Number 7: Fermi-level density of states 3.378 states/eV/cell, size of the total moment 0.000 μB per formula unit. Number 8: Fermi-level density of states 4.102 states/eV/cell, size of the total moment 0.000 μB per formula unit. Number 9: Fermi-level density of states 3.356 states/eV/cell, size of the total moment 0.000 μB per formula unit. Number 10: Fermi-level density of states 19.766 states/eV/cell, size of the total moment 0.000 μB per formula unit. Number 11: Fermi-level density of states 4.025 states/eV/cell, size of the total moment 0.000 μB per formula unit. Number 12: Fermi-level density of states 3.144 states/eV/cell, size of the total moment 0.000 μB per formula unit. Number 13: Fermi-level density of states 1.521 states/eV/cell, size of the total moment 0.000 μB per formula unit. Number 14: Fermi-level density of states 9.955 states/eV/cell, size of the total moment 8.458 μB per formula unit. Number 15: Fermi-level density of states 6.708 states/eV/cell, size of the total moment 0.000 μB per formula unit. Number 16: Fermi-level density of states 13.156 states/eV/cell, size of the total moment 0.000 μB per formula unit. Number 17: Fermi-level density of states 2.839 states/eV/cell, size of the total moment 0.000 μB per formula unit. Number 18: Fermi-level density of states 4.275 states/eV/cell, size of the total moment 0.755 μB per formula unit. Number 19: Fermi-level density of states 2.121 states/eV/cell, size of the total moment 0.000 μB per formula unit. Number 20: Fermi-level density of states 5.025 states/eV/cell, size of the total moment 0.000 μB per formula unit.